This record from the Alexandria database describes a geometry-optimized PuTh2Mn structure. The functional is PBE.

Results
The total magnetization comes out at 7.94 μB per formula unit. As for the energy above the most stable polymorph in this dataset: 0 meV per atom. The formation energy comes out at 0.1847 eV/atom.

CIF file:
```
data_PuTh2Mn
_symmetry_space_group_name_H-M 'P 4/m m m'
_symmetry_Int_Tables_number 123
_symmetry_space_group_name_Hall '-P 4 2'
_cell_length_a 3.526
_cell_length_b 3.526
_cell_length_c 8.266
_cell_angle_alpha 90.00
_cell_angle_beta 90.00
_cell_angle_gamma 90.00
loop_
_atom_site_label
_atom_site_fract_x
_atom_site_fract_y
_atom_site_fract_z
Pu1 0.000 0.000 0.000
Th1 0.500 0.500 0.286
Mn1 0.000 0.000 0.500
```

This record from the Alexandria database describes a geometry-optimized PuThMnZn structure. The functional is PBE.

Results
The total magnetization comes out at 3.37 μB per formula unit. The formation energy comes out at 0.0685 eV/atom.

CIF file:
```
data_PuThMnZn
_symmetry_space_group_name_H-M 'F -4 3 m'
_symmetry_Int_Tables_number 216
_symmetry_space_group_name_Hall 'F -4 2 3'
_cell_length_a 7.097
_cell_length_b 7.097
_cell_length_c 7.097
_cell_angle_alpha 90.00
_cell_angle_beta 90.00
_cell_angle_gamma 90.00
loop_
_atom_site_label
_atom_site_fract_x
_atom_site_fract_y
_atom_site_fract_z
Pu1 0.000 0.000 0.000
Th1 0.000 0.000 0.500
Mn1 0.250 0.250 0.250
Zn1 0.250 0.250 0.750
```

This record from the Alexandria database describes a geometry-optimized PuTiMn structure. The functional is PBE.

Results
The total magnetization comes out at 3.50 μB per formula unit. The formation energy comes out at 0.2588 eV/atom.

CIF file:
```
data_PuTiMn
_symmetry_space_group_name_H-M 'P 42/m m c'
_symmetry_Int_Tables_number 131
_symmetry_space_group_name_Hall '-P 4c 2'
_cell_length_a 4.468
_cell_length_b 4.468
_cell_length_c 5.672
_cell_angle_alpha 90.00
_cell_angle_beta 90.00
_cell_angle_gamma 90.00
loop_
_atom_site_label
_atom_site_fract_x
_atom_site_fract_y
_atom_site_fract_z
Pu1 0.000 0.000 0.000
Ti1 0.500 0.500 0.250
Mn1 0.000 0.500 0.000
```

This record from the Alexandria database describes a geometry-optimized PuTiMn2 structure. The functional is PBE.

Results
The total magnetization comes out at 2.08 μB per formula unit. As for the energy above the most stable polymorph in this dataset: 33 meV per atom. The formation energy comes out at 0.0054 eV/atom.

CIF file:
```
data_PuTiMn2
_symmetry_space_group_name_H-M 'F m -3 m'
_symmetry_Int_Tables_number 225
_symmetry_space_group_name_Hall '-F 4 2 3'
_cell_length_a 6.276
_cell_length_b 6.276
_cell_length_c 6.276
_cell_angle_alpha 90.00
_cell_angle_beta 90.00
_cell_angle_gamma 90.00
loop_
_atom_site_label
_atom_site_fract_x
_atom_site_fract_y
_atom_site_fract_z
Pu1 0.000 0.000 0.000
Ti1 0.000 0.000 0.500
Mn1 0.250 0.250 0.250
```

This record from the Alexandria database describes a geometry-optimized PuTiMn2 structure. The functional is PBE.

Results
The total magnetization comes out at 1.63 μB per formula unit. As for the energy above the most stable polymorph in this dataset: 24 meV per atom. The formation energy comes out at -0.0045 eV/atom.

CIF file:
```
data_PuTiMn2
_symmetry_space_group_name_H-M 'P 4/m m m'
_symmetry_Int_Tables_number 123
_symmetry_space_group_name_Hall '-P 4 2'
_cell_length_a 4.533
_cell_length_b 4.533
_cell_length_c 3.045
_cell_angle_alpha 90.00
_cell_angle_beta 90.00
_cell_angle_gamma 90.00
loop_
_atom_site_label
_atom_site_fract_x
_atom_site_fract_y
_atom_site_fract_z
Pu1 0.000 0.000 0.000
Ti1 0.500 0.500 0.000
Mn1 0.000 0.500 0.500
```

This record from the Alexandria database describes a geometry-optimized PuTiMn2 structure. The functional is PBE.

Results
The total magnetization comes out at 1.82 μB per formula unit. As for the energy above the most stable polymorph in this dataset: 0 meV per atom. The formation energy comes out at -0.0280 eV/atom.

CIF file:
```
data_PuTiMn2
_symmetry_space_group_name_H-M 'P 4/m m m'
_symmetry_Int_Tables_number 123
_symmetry_space_group_name_Hall '-P 4 2'
_cell_length_a 3.036
_cell_length_b 3.036
_cell_length_c 6.848
_cell_angle_alpha 90.00
_cell_angle_beta 90.00
_cell_angle_gamma 90.00
loop_
_atom_site_label
_atom_site_fract_x
_atom_site_fract_y
_atom_site_fract_z
Pu1 0.000 0.000 0.000
Ti1 0.000 0.000 0.500
Mn1 0.500 0.500 0.282
```

This record from the Alexandria database describes a geometry-optimized Pu2MnTl structure. The functional is PBE.

Results
The total magnetization comes out at 8.64 μB per formula unit. As for the energy above the most stable polymorph in this dataset: 0 meV per atom. The formation energy comes out at 0.0142 eV/atom.

CIF file:
```
data_Pu2MnTl
_symmetry_space_group_name_H-M 'P 4/m m m'
_symmetry_Int_Tables_number 123
_symmetry_space_group_name_Hall '-P 4 2'
_cell_length_a 3.222
_cell_length_b 3.222
_cell_length_c 8.726
_cell_angle_alpha 90.00
_cell_angle_beta 90.00
_cell_angle_gamma 90.00
loop_
_atom_site_label
_atom_site_fract_x
_atom_site_fract_y
_atom_site_fract_z
Pu1 0.000 0.000 0.207
Mn1 0.500 0.500 0.000
Tl1 0.500 0.500 0.500
```

This record from the Alexandria database describes a geometry-optimized PuMnTl structure. The functional is PBE.

Results
The total magnetization comes out at 8.86 μB per formula unit. The formation energy comes out at 0.4130 eV/atom.

CIF file:
```
data_PuMnTl
_symmetry_space_group_name_H-M 'I 4 m m'
_symmetry_Int_Tables_number 107
_symmetry_space_group_name_Hall 'I 4 -2'
_cell_length_a 3.176
_cell_length_b 3.176
_cell_length_c 13.194
_cell_angle_alpha 90.00
_cell_angle_beta 90.00
_cell_angle_gamma 90.00
loop_
_atom_site_label
_atom_site_fract_x
_atom_site_fract_y
_atom_site_fract_z
Pu1 0.000 0.000 0.000
Mn1 0.000 0.000 0.335
Tl1 0.000 0.000 0.694
```

This record from the Alexandria database describes a geometry-optimized PuMnTl structure. The functional is PBE.

Results
The total magnetization comes out at 2.94 μB per formula unit. The formation energy comes out at 0.0843 eV/atom.

CIF file:
```
data_PuMnTl
_symmetry_space_group_name_H-M 'C 1 2/m 1'
_symmetry_Int_Tables_number 12
_cell_length_a 10.999
_cell_length_b 4.879
_cell_length_c 4.769
_cell_angle_alpha 90.00
_cell_angle_beta 91.74
_cell_angle_gamma 90.00
loop_
_symmetry_equiv_pos_as_xyz
'x,y,z'
'-x,-y,-z'
'-x,y,-z'
'x,-y,z'
'x+1/2,y+1/2,z'
'-x+1/2,-y+1/2,-z'
'-x+1/2,y+1/2,-z'
'x+1/2,-y+1/2,z'
loop_
_atom_site_label
_atom_site_fract_x
_atom_site_fract_y
_atom_site_fract_z
Pu1 0.105 0.000 0.220
Mn1 0.207 0.000 0.638
Tl1 0.101 0.500 0.758
```

This record from the Alexandria database describes a geometry-optimized Pu2MnTl structure. The functional is PBE.

Results
The total magnetization comes out at 14.85 μB per formula unit. As for the energy above the most stable polymorph in this dataset: 275 meV per atom. The formation energy comes out at 0.2890 eV/atom.

CIF file:
```
data_Pu2MnTl
_symmetry_space_group_name_H-M 'P 4/m m m'
_symmetry_Int_Tables_number 123
_symmetry_space_group_name_Hall '-P 4 2'
_cell_length_a 4.260
_cell_length_b 4.260
_cell_length_c 5.050
_cell_angle_alpha 90.00
_cell_angle_beta 90.00
_cell_angle_gamma 90.00
loop_
_atom_site_label
_atom_site_fract_x
_atom_site_fract_y
_atom_site_fract_z
Pu1 0.000 0.500 0.000
Mn1 0.000 0.000 0.500
Tl1 0.500 0.500 0.500
```

This record from the Alexandria database describes a geometry-optimized Pu2MnTl structure. The functional is PBE.

Results
The total magnetization comes out at 9.38 μB per formula unit. As for the energy above the most stable polymorph in this dataset: 334 meV per atom. The formation energy comes out at 0.3483 eV/atom.

CIF file:
```
data_Pu2MnTl
_symmetry_space_group_name_H-M 'R -3 m'
_symmetry_Int_Tables_number 166
_symmetry_space_group_name_Hall '-R 3 2"'
_cell_length_a 3.3077
_cell_length_b 3.3077
_cell_length_c 31.7761
_cell_angle_alpha 90.00
_cell_angle_beta 90.00
_cell_angle_gamma 120.00
loop_
_atom_site_label
_atom_site_fract_x
_atom_site_fract_y
_atom_site_fract_z
Pu1 0.0000 0.0000 0.1037
Mn1 0.0000 0.0000 0.5000
Tl1 0.0000 0.0000 0.0000
```

This record from the Alexandria database describes a geometry-optimized TmPuMn4 structure. The functional is PBE.

Results
The total magnetization comes out at 6.71 μB per formula unit. The formation energy comes out at 0.1402 eV/atom.

CIF file:
```
data_TmPuMn4
_symmetry_space_group_name_H-M 'F -4 3 m'
_symmetry_Int_Tables_number 216
_symmetry_space_group_name_Hall 'F -4 2 3'
_cell_length_a 7.121
_cell_length_b 7.121
_cell_length_c 7.121
_cell_angle_alpha 90.00
_cell_angle_beta 90.00
_cell_angle_gamma 90.00
loop_
_atom_site_label
_atom_site_fract_x
_atom_site_fract_y
_atom_site_fract_z
Tm1 0.000 0.000 0.000
Pu1 0.250 0.250 0.750
Mn1 0.125 0.125 0.375
```

> Look up the total magnetization of the twelfth one.

6.71 μB per formula unit